Record 1
Below is NaZnInF6 after structural relaxation, with properties calculated at the PBE-GGA level.

Calculated values
As for the total energy: -4.36 eV/atom. The magnetization comes out at 0.000 μB per formula unit. For the uncorrected formation energy, the calculation gives -2522 meV/atom.

Cell and atoms, written as extended XYZ:
```
18
Lattice="5.5421 0.0000 0.0000 -2.7711 4.7996 0.0000 0.0000 0.0000 9.7536" Properties=species:S:1:pos:R:3 pbc="T T T"
Na 0.0000 0.0000 0.0000
Na 0.0000 0.0000 4.8768
Zn 0.0000 3.1997 2.4384
Zn 2.7711 1.5999 7.3152
In 0.0000 3.1997 7.3152
In 2.7711 1.5999 2.4384
F -0.9678 1.7307 1.3384
F -1.7561 3.0961 3.5385
F 0.9678 1.7307 3.5385
F -0.7884 4.7724 1.3384
F 1.9827 0.0272 6.2152
F 1.0149 1.7035 8.4153
F 1.7561 3.0961 1.3384
F 0.7884 4.7724 3.5385
F 3.5594 0.0272 8.4153
F 1.8033 3.0689 6.2152
F 4.5272 1.7035 6.2152
F 3.7388 3.0689 8.4153
```



Record 2
Below is Na2ZnInF8 after structural relaxation, with properties calculated at the PBE-GGA level.

Calculated values
As for the total energy: -4.14 eV/atom. The magnetization comes out at 1.173 μB per formula unit. For the uncorrected formation energy, the calculation gives -2338 meV/atom.

Cell and atoms, written as extended XYZ:
```
12
Lattice="5.0613 0.0000 0.0000 0.0000 6.6255 0.0000 -0.2093 0.0000 5.1101" Properties=species:S:1:pos:R:3 pbc="T T T"
Na 0.0000 1.6264 0.0000
Na 0.0000 4.9992 0.0000
Zn 2.4260 0.0000 2.5550
In 2.4260 3.3128 2.5550
F 0.9817 3.3128 1.1098
F 1.1004 0.0000 1.2291
F 1.4979 1.5951 3.5002
F 1.4979 5.0304 3.5002
F 3.3541 1.5951 1.6099
F 3.3541 5.0304 1.6099
F 3.7516 0.0000 3.8810
F 3.8703 3.3128 4.0003
```



Record 3
Below is NaZrIn2F8 after structural relaxation, with properties calculated at the PBE-GGA level.

Calculated values
As for the total energy: -5.31 eV/atom. The magnetization comes out at 0.000 μB per formula unit. For the uncorrected formation energy, the calculation gives -2782 meV/atom.

Cell and atoms, written as extended XYZ:
```
12
Lattice="5.4467 0.0000 0.0000 0.3945 6.1628 0.0000 0.1011 0.1682 6.6987" Properties=species:S:1:pos:R:3 pbc="T T T"
Na 0.0000 0.0000 0.0000
Zr 0.0505 0.0841 3.3493
In 2.9247 3.0653 1.7879
In 3.0176 3.2657 4.9108
F 1.0984 4.9778 1.8682
F 1.3363 5.1851 4.8771
F 1.7077 1.2008 3.0984
F 1.9786 2.0790 0.0328
F 3.9637 4.2521 6.6659
F 4.2347 5.1302 3.6003
F 4.6060 1.1460 1.8215
F 4.8439 1.3533 4.8304
```



Record 4
Below is NbInF2 after structural relaxation, with properties calculated at the PBE-GGA level.

Calculated values
As for the total energy: -4.81 eV/atom. The magnetization comes out at 1.262 μB per formula unit. The calculation puts the distance to the lowest polymorph of the same formula at 3.23 eV/f.u. For the uncorrected formation energy, the calculation gives -673 meV/atom.

Cell and atoms, written as extended XYZ:
```
4
Lattice="0.0000 3.1206 3.1206 3.1206 0.0000 3.1206 3.1206 3.1206 0.0000" Properties=species:S:1:pos:R:3 pbc="T T T"
Nb 0.0000 0.0000 0.0000
In 3.1206 3.1206 3.1206
F 1.5603 1.5603 1.5603
F 4.6809 4.6809 4.6809
```



Record 5
Below is Nb3In2F9 after structural relaxation, with properties calculated at the PBE-GGA level.

Calculated values
As for the total energy: -6.15 eV/atom. The magnetization comes out at 0.000 μB per formula unit. For the uncorrected formation energy, the calculation gives -2401 meV/atom.

Cell and atoms, written as extended XYZ:
```
28
Lattice="4.8297 -7.0693 0.0000 4.8297 7.0693 0.0000 -3.0136 0.0000 7.7775" Properties=species:S:1:pos:R:3 pbc="T T T"
Nb 0.6891 1.3873 1.2050
Nb -1.3000 0.0000 6.7894
Nb 0.6891 -1.3873 1.2050
Nb 5.9566 1.3873 6.5725
Nb 7.9456 0.0000 0.9881
Nb 5.9566 -1.3873 6.5725
In 1.8760 2.1414 5.0821
In 4.7696 2.1414 2.6953
In 1.8760 -2.1414 5.0821
In 4.7696 -2.1414 2.6953
F 1.3663 2.8929 2.6033
F 3.7245 5.5533 2.3312
F 2.9211 5.5533 5.4463
F 2.5844 1.4924 0.2500
F 4.8297 4.0709 0.0000
F 1.5187 0.0000 2.6005
F 0.5502 0.0000 5.7082
F 2.5844 -1.4924 0.2500
F 1.3663 -2.8929 2.6033
F 5.2793 2.8929 5.1742
F 4.0612 1.4924 7.5275
F 6.0955 0.0000 2.0693
F 5.1269 0.0000 5.1769
F 4.8297 -4.0709 0.0000
F 4.0612 -1.4924 7.5275
F 3.7245 -5.5533 2.3312
F 2.9211 -5.5533 5.4463
F 5.2793 -2.8929 5.1742
```



Record 6
Below is NbInF3 after structural relaxation, with properties calculated at the PBE-GGA level.

Calculated values
As for the total energy: -4.61 eV/atom. The magnetization comes out at 3.917 μB per formula unit. The calculation puts the distance to the lowest polymorph of the same formula at 4.30 eV/f.u. For the uncorrected formation energy, the calculation gives -924 meV/atom.

Cell and atoms, written as extended XYZ:
```
5
Lattice="4.4629 0.0000 0.0000 0.0000 4.4629 0.0000 0.0000 0.0000 4.4629" Properties=species:S:1:pos:R:3 pbc="T T T"
Nb 0.0000 0.0000 0.0000
In 2.2314 2.2314 2.2314
F 0.0000 2.2314 2.2314
F 2.2314 0.0000 2.2314
F 2.2314 2.2314 0.0000
```



Record 7
Below is Nb2In2F after structural relaxation, with properties calculated at the PBE-GGA level.

Calculated values
As for the total energy: -5.55 eV/atom. The magnetization comes out at 0.000 μB per formula unit. The calculation puts the distance to the lowest polymorph of the same formula at 0.00 eV/f.u. For the uncorrected formation energy, the calculation gives -51 meV/atom.

Cell and atoms, written as extended XYZ:
```
5
Lattice="-1.8518 1.8518 7.8291 1.8518 -1.8518 7.8291 1.8518 1.8518 -7.8291" Properties=species:S:1:pos:R:3 pbc="T T T"
Nb 1.8518 0.0000 3.9145
Nb 0.0000 1.8518 3.9145
In 0.0000 0.0000 1.3680
In 0.0000 0.0000 14.2902
F 0.0000 0.0000 7.8291
```



Record 8
Below is Nb3InF after structural relaxation, with properties calculated at the PBE-GGA level.

Calculated values
As for the total energy: -7.06 eV/atom. The magnetization comes out at 0.000 μB per formula unit. The calculation puts the distance to the lowest polymorph of the same formula at 0.00 eV/f.u. For the uncorrected formation energy, the calculation gives -94 meV/atom.

Cell and atoms, written as extended XYZ:
```
5
Lattice="4.3913 0.0000 0.0000 0.0000 4.3913 0.0000 0.0000 0.0000 4.3913" Properties=species:S:1:pos:R:3 pbc="T T T"
Nb 0.0000 0.0000 2.1956
Nb 0.0000 2.1956 0.0000
Nb 2.1956 0.0000 0.0000
In 2.1956 2.1956 2.1956
F 0.0000 0.0000 0.0000
```



Record 9
Below is NbInF5 after structural relaxation, with properties calculated at the PBE-GGA level.

Calculated values
As for the total energy: -5.75 eV/atom. The magnetization comes out at 1.000 μB per formula unit. For the uncorrected formation energy, the calculation gives -2587 meV/atom.

Cell and atoms, written as extended XYZ:
```
14
Lattice="-4.0684 4.0994 4.2120 4.0684 -4.0994 4.2120 4.0684 4.0994 -4.2120" Properties=species:S:1:pos:R:3 pbc="T T T"
Nb -2.0342 2.0497 2.1060
Nb 2.0342 2.0497 2.1060
In 4.0684 2.0497 -1.9153
In 0.0000 2.0497 6.1273
F 2.0342 4.1641 -2.1060
F 2.0342 0.0647 2.1060
F 2.4258 2.0497 0.1579
F 5.7111 2.0497 0.1579
F 0.0000 2.0497 1.7425
F 4.0684 2.0497 2.4695
F -1.6426 2.0497 4.0541
F 1.6426 2.0497 4.0541
F -2.0342 4.0347 2.1060
F 2.0342 4.0347 2.1060
```



Record 10
Below is Nb3InF after structural relaxation, with properties calculated at the PBE-GGA level.

Calculated values
As for the total energy: -4.99 eV/atom. The magnetization comes out at 1.693 μB per formula unit. The calculation puts the distance to the lowest polymorph of the same formula at 10.32 eV/f.u. For the uncorrected formation energy, the calculation gives 1969 meV/atom.

Cell and atoms, written as extended XYZ:
```
5
Lattice="5.1265 0.0000 0.0000 0.0000 5.1265 0.0000 0.0000 0.0000 5.1265" Properties=species:S:1:pos:R:3 pbc="T T T"
Nb 0.0000 0.0000 2.5632
Nb 0.0000 2.5632 0.0000
Nb 2.5632 0.0000 0.0000
In 0.0000 0.0000 0.0000
F 2.5632 2.5632 2.5632
```



Record 11
Below is NbInF2 after structural relaxation, with properties calculated at the PBE-GGA level.

Calculated values
As for the total energy: -5.38 eV/atom. The magnetization comes out at 0.000 μB per formula unit. The calculation puts the distance to the lowest polymorph of the same formula at 0.95 eV/f.u. For the uncorrected formation energy, the calculation gives -1242 meV/atom.

Cell and atoms, written as extended XYZ:
```
8
Lattice="-2.1367 2.1367 7.3263 2.1367 -2.1367 7.3263 2.1367 2.1367 -7.3263" Properties=species:S:1:pos:R:3 pbc="T T T"
Nb 0.0000 0.0000 0.0000
Nb 0.0000 2.1367 3.6631
In 2.1367 0.0000 3.6631
In 0.0000 0.0000 7.3263
F 0.4602 1.0684 1.8316
F -1.0684 1.6765 5.4947
F -0.4602 3.2051 1.8316
F 1.0684 2.5970 5.4947
```



Record 12
Below is NbInF2 after structural relaxation, with properties calculated at the PBE-GGA level.

Calculated values
As for the total energy: -5.62 eV/atom. The magnetization comes out at 0.000 μB per formula unit. The calculation puts the distance to the lowest polymorph of the same formula at 0.00 eV/f.u. For the uncorrected formation energy, the calculation gives -1480 meV/atom.

Cell and atoms, written as extended XYZ:
```
4
Lattice="1.4673 0.8471 9.9706 -1.4673 0.8471 9.9706 0.0000 -1.6943 9.9706" Properties=species:S:1:pos:R:3 pbc="T T T"
Nb 0.0000 0.0000 0.0000
In 0.0000 0.0000 14.9559
F 0.0000 0.0000 11.4778
F 0.0000 0.0000 18.4341
```